First-principles (PBE-GGA) data for a relaxed NpInCo crystal, as listed in Alexandria.

a = 3.057 Å, b = 3.057 Å, c = 6.367 Å
α = 103.89°, β = 103.89°, γ = 90.00°
Atoms (fractional coordinates):
Np1 0.308 0.308 0.615
Co1 0.670 0.670 0.339
In1 0.023 0.023 0.046

Computed properties:
As for the symmetry: No. 107. As for the total DFT energy (no corrections): -22.431 eV per cell. For the density of states at the Fermi level, the calculation gives 7.3 states/eV per cell.

First-principles (PBE-GGA) data for a relaxed CaPmHgBi crystal, as listed in Alexandria.

a = 5.490 Å, b = 5.490 Å, c = 5.490 Å
α = 60.00°, β = 60.00°, γ = 60.00°
Atoms (fractional coordinates):
Ca1 0.250 0.250 0.250
Pm1 0.750 0.750 0.750
Bi1 0.500 0.500 0.500
Hg1 0.000 0.000 0.000

Computed properties:
As for the symmetry: No. 216. As for the total DFT energy (no corrections): -13.245 eV per cell. For the density of states at the Fermi level, the calculation gives 3.8 states/eV per cell.

First-principles (PBE-GGA) data for a relaxed Li2SbBr crystal, as listed in Alexandria.

a = 3.329 Å, b = 3.329 Å, c = 7.841 Å
α = 90.00°, β = 90.00°, γ = 96.90°
Atoms (fractional coordinates):
Br1 0.500 0.500 0.750
Li1 0.000 0.000 0.965
Li2 0.000 0.000 0.535
Sb1 0.500 0.500 0.250

Computed properties:
As for the symmetry: No. 65. For the density of states at the Fermi level, the calculation gives 0.5 states/eV per cell. For the energy relative to the elements, uncorrected, the calculation gives -782 meV per atom.

First-principles (PBE-GGA) data for a relaxed Rb5Tl crystal, as listed in Alexandria.

a = 5.049 Å, b = 7.429 Å, c = 12.078 Å
α = 107.91°, β = 90.00°, γ = 90.00°
Atoms (fractional coordinates):
Tl1 0.000 0.000 0.000
Rb1 0.000 0.681 0.363
Rb2 0.000 0.319 0.637
Rb3 0.500 0.500 0.000
Rb4 0.500 0.126 0.251
Rb5 0.500 0.874 0.749

Computed properties:
As for the symmetry: No. 65. As for the total DFT energy (no corrections): -6.989 eV per cell. For the density of states at the Fermi level, the calculation gives 5.5 states/eV per cell.

First-principles (PBE-GGA) data for a relaxed Be3P crystal, as listed in Alexandria.

a = 4.251 Å, b = 4.251 Å, c = 4.251 Å
α = 90.00°, β = 90.00°, γ = 90.00°
Atoms (fractional coordinates):
Be1 0.750 0.500 0.000
Be2 0.250 0.500 0.000
Be3 0.000 0.750 0.500
Be4 0.000 0.250 0.500
Be5 0.500 0.000 0.250
Be6 0.500 0.000 0.750
P1 0.000 0.000 0.000
P2 0.500 0.500 0.500

Computed properties:
As for the symmetry: No. 223. As for the total DFT energy (no corrections): -30.461 eV per cell. For the density of states at the Fermi level, the calculation gives 1.5 states/eV per cell.

First-principles (PBE-GGA) data for a relaxed AgIr3 crystal, as listed in Alexandria.

a = 4.808 Å, b = 4.808 Å, c = 4.805 Å
α = 131.80°, β = 131.79°, γ = 70.55°
Atoms (fractional coordinates):
Ir1 0.250 0.750 0.500
Ir2 0.500 0.500 0.000
Ir3 0.750 0.250 0.500
Ag1 0.000 0.000 0.000

Computed properties:
As for the symmetry: No. 139. As for the total DFT energy (no corrections): -27.918 eV per cell. For the density of states at the Fermi level, the calculation gives 4.7 states/eV per cell.

First-principles (PBE-GGA) data for a relaxed NdNp2Sn9 crystal, as listed in Alexandria.

a = 4.683 Å, b = 4.683 Å, c = 14.096 Å
α = 90.00°, β = 90.00°, γ = 90.00°
Atoms (fractional coordinates):
Nd1 0.000 0.000 0.000
Np1 0.000 0.000 0.337
Np2 0.000 0.000 0.663
Sn1 0.500 0.500 0.000
Sn2 0.500 0.500 0.336
Sn3 0.500 0.500 0.664
Sn4 0.500 0.000 0.173
Sn5 0.500 0.000 0.500
Sn6 0.500 0.000 0.827
Sn7 0.000 0.500 0.173
Sn8 0.000 0.500 0.500
Sn9 0.000 0.500 0.827

Computed properties:
As for the symmetry: No. 123. As for the total DFT energy (no corrections): -69.812 eV per cell. For the density of states at the Fermi level, the calculation gives 24.9 states/eV per cell.

First-principles (PBE-GGA) data for a relaxed BSbAuI2 crystal, as listed in Alexandria.

a = 4.926 Å, b = 4.926 Å, c = 5.159 Å
α = 90.00°, β = 90.00°, γ = 90.00°
Atoms (fractional coordinates):
I1 0.000 0.500 0.000
I2 0.500 0.000 0.000
Sb1 0.000 0.000 0.500
B1 0.000 0.000 0.000
Au1 0.500 0.500 0.500

Computed properties:
As for the symmetry: No. 123. For the density of states at the Fermi level, the calculation gives 3.5 states/eV per cell. For the energy relative to the elements, uncorrected, the calculation gives 933 meV per atom.